Here is crystalline AcY2Zn at its relaxed geometry from Alexandria. Energies are from PBE.

For the formation enthalpy at 0 K, the calculation gives -60 meV per atom. As for the calculated volume: 379.72 Å³ per cell. The excess energy over the best structure of this formula in the dataset comes out at 80 meV per atom. The crystal system is trigonal.

The space group is R-3m (No. 166, hexagonal axes) and the conventional cell measures 3.7487, 3.7487 and 31.2019 Å, with angles of 90.00, 90.00 and 120.00 degrees. Symmetry generates all atoms from Ac at (0.0000, 0.0000, 0.0000), Y at (0.0000, 0.0000, 0.2342) and Zn at (0.0000, 0.0000, 0.5000).